# 1
# Na7HgPb3 (PBE, relaxed)
# - Density: 4.9 g/cm3
# - Magnetic moment: 0.00 μB per formula unit
# - V: 331.3 Å³/f.u.
# - DFT formation energy: -0.136 eV/atom
data_Na7HgPb3
_cell_length_a 3.519
_cell_length_b 26.304
_cell_length_c 14.315
_cell_angle_alpha 90.00
_cell_angle_beta 90.00
_cell_angle_gamma 90.00
_space_group_name_H-M_alt 'C m c m'
_space_group_IT_number 63
_space_group_name_Hall '-C 2c 2'
loop_
_atom_site_label
_atom_site_type_symbol
_atom_site_fract_x
_atom_site_fract_y
_atom_site_fract_z
Na1 Na 0.000 0.020 0.117
Na2 Na 0.000 0.101 0.750
Na3 Na 0.000 0.155 0.096
Na4 Na 0.000 0.296 0.111
Hg1 Hg 0.000 0.406 0.750
Pb1 Pb 0.000 0.279 0.750
Pb2 Pb 0.000 0.416 0.051


# 2
# Na3Hg5Pb (PBE, relaxed)
# - Density: 8.9 g/cm3
# - Magnetic moment: 0.00 μB per formula unit
# - V: 238.1 Å³/f.u.
# - DFT formation energy: -0.198 eV/atom
data_Na3Hg5Pb
_cell_length_a 9.2579
_cell_length_b 9.2579
_cell_length_c 6.4167
_cell_angle_alpha 90.00
_cell_angle_beta 90.00
_cell_angle_gamma 120.00
_space_group_name_H-M_alt 'P 63/m c m'
_space_group_IT_number 193
_space_group_name_Hall '-P 6c 2'
loop_
_atom_site_label
_atom_site_type_symbol
_atom_site_fract_x
_atom_site_fract_y
_atom_site_fract_z
Na1 Na 0.0000 0.3515 0.2500
Hg1 Hg 0.0000 0.3205 0.7500
Hg2 Hg 0.3333 0.6667 0.0000
Pb1 Pb 0.0000 0.0000 0.0000


# 3
# Na2Hg2Pb (PBE, relaxed)
# - Density: 7.6 g/cm3
# - Magnetic moment: 0.00 μB per formula unit
# - V: 143.2 Å³/f.u.
# - DFT formation energy: -0.052 eV/atom
# - Energy above the most stable polymorph in this dataset: 143 meV/atom
data_Na2Hg2Pb
_cell_length_a 4.566
_cell_length_b 4.566
_cell_length_c 13.738
_cell_angle_alpha 90.00
_cell_angle_beta 90.00
_cell_angle_gamma 90.00
_space_group_name_H-M_alt 'I 4/m m m'
_space_group_IT_number 139
_space_group_name_Hall '-I 4 2'
loop_
_atom_site_label
_atom_site_type_symbol
_atom_site_fract_x
_atom_site_fract_y
_atom_site_fract_z
Na1 Na 0.000 0.500 0.250
Hg1 Hg 0.000 0.000 0.104
Pb1 Pb 0.000 0.000 0.500


# 4
# NaHgPb (PBE, relaxed)
# - Density: 7.9 g/cm3
# - Magnetic moment: 0.00 μB per formula unit
# - V: 90.1 Å³/f.u.
# - DFT formation energy: -0.092 eV/atom
# - Energy above the most stable polymorph in this dataset: 60 meV/atom
data_NaHgPb
_cell_length_a 3.277
_cell_length_b 6.494
_cell_length_c 16.943
_cell_angle_alpha 90.00
_cell_angle_beta 90.00
_cell_angle_gamma 90.00
_space_group_name_H-M_alt 'I m m m'
_space_group_IT_number 71
_space_group_name_Hall '-I 2 2'
loop_
_atom_site_label
_atom_site_type_symbol
_atom_site_fract_x
_atom_site_fract_y
_atom_site_fract_z
Na1 Na 0.000 0.000 0.156
Hg1 Hg 0.000 0.000 0.335
Pb1 Pb 0.000 0.252 0.500


# 5
# Na3Hg4Pb4 (PBE, relaxed)
# - Density: 8.9 g/cm3
# - Magnetic moment: 0.00 μB per formula unit
# - V: 315.5 Å³/f.u.
# - DFT formation energy: -0.104 eV/atom
data_Na3Hg4Pb4
_cell_length_a 3.551
_cell_length_b 9.542
_cell_length_c 18.624
_cell_angle_alpha 90.00
_cell_angle_beta 90.00
_cell_angle_gamma 90.00
_space_group_name_H-M_alt 'I m m m'
_space_group_IT_number 71
_space_group_name_Hall '-I 2 2'
loop_
_atom_site_label
_atom_site_type_symbol
_atom_site_fract_x
_atom_site_fract_y
_atom_site_fract_z
Na1 Na 0.000 0.000 0.000
Na2 Na 0.000 0.500 0.095
Hg1 Hg 0.000 0.000 0.271
Hg2 Hg 0.000 0.209 0.500
Pb1 Pb 0.000 0.307 0.334


# 6
# Na4Hg5Pb3 (PBE, relaxed)
# - Density: 8.8 g/cm3
# - Magnetic moment: 0.00 μB per formula unit
# - V: 325.7 Å³/f.u.
# - DFT formation energy: -0.136 eV/atom
data_Na4Hg5Pb3
_cell_length_a 6.599
_cell_length_b 7.429
_cell_length_c 7.524
_cell_angle_alpha 74.36
_cell_angle_beta 77.24
_cell_angle_gamma 67.69
_space_group_name_H-M_alt 'P -1'
_space_group_IT_number 2
loop_
_space_group_symop_operation_xyz
'x,y,z'
'-x,-y,-z'
loop_
_atom_site_label
_atom_site_type_symbol
_atom_site_fract_x
_atom_site_fract_y
_atom_site_fract_z
Na1 Na 0.088 0.171 0.316
Na2 Na 0.172 0.314 0.692
Hg1 Hg 0.000 0.000 0.000
Hg2 Hg 0.251 0.501 0.002
Hg3 Hg 0.404 0.844 0.652
Pb1 Pb 0.333 0.650 0.343
Pb2 Pb 0.500 0.000 0.000


# 7
# NaHg3Pb12 (PBE, relaxed)
# - Density: 10.8 g/cm3
# - Magnetic moment: 0.00 μB per formula unit
# - V: 476.4 Å³/f.u.
# - DFT formation energy: -0.013 eV/atom
data_NaHg3Pb12
_cell_length_a 4.832
_cell_length_b 4.832
_cell_length_c 20.405
_cell_angle_alpha 90.00
_cell_angle_beta 90.00
_cell_angle_gamma 90.00
_space_group_name_H-M_alt 'P 4/m m m'
_space_group_IT_number 123
_space_group_name_Hall '-P 4 2'
loop_
_atom_site_label
_atom_site_type_symbol
_atom_site_fract_x
_atom_site_fract_y
_atom_site_fract_z
Na1 Na 0.000 0.000 0.000
Hg1 Hg 0.000 0.000 0.252
Hg2 Hg 0.000 0.000 0.500
Pb1 Pb 0.000 0.500 0.125
Pb2 Pb 0.000 0.500 0.376
Pb3 Pb 0.500 0.500 0.000
Pb4 Pb 0.500 0.500 0.249
Pb5 Pb 0.500 0.500 0.500


# 8
# Na4Hg5Pb (PBE, relaxed)
# - Density: 8.3 g/cm3
# - Magnetic moment: 0.00 μB per formula unit
# - V: 261.6 Å³/f.u.
# - DFT formation energy: -0.211 eV/atom
data_Na4Hg5Pb
_cell_length_a 3.781
_cell_length_b 3.781
_cell_length_c 18.300
_cell_angle_alpha 90.00
_cell_angle_beta 90.00
_cell_angle_gamma 90.00
_space_group_name_H-M_alt 'P 4/m m m'
_space_group_IT_number 123
_space_group_name_Hall '-P 4 2'
loop_
_atom_site_label
_atom_site_type_symbol
_atom_site_fract_x
_atom_site_fract_y
_atom_site_fract_z
Na1 Na 0.000 0.000 0.099
Na2 Na 0.000 0.000 0.299
Hg1 Hg 0.500 0.500 0.000
Hg2 Hg 0.500 0.500 0.197
Hg3 Hg 0.500 0.500 0.389
Pb1 Pb 0.000 0.000 0.500